1.
RePtSe2O: relaxed, GGA-PBE.

```
5
Lattice="4.717 0.000 0.000 0.000 4.717 0.000 0.000 0.000 5.010" Properties=species:S:1:pos:R:3 pbc="T T T"
Re 0.000 0.000 0.000
Pt 0.000 0.000 2.505
Se 0.000 2.359 0.000
Se 2.359 0.000 0.000
O 2.359 2.359 2.505
```

Calculated values
ΔE_f (raw) in meV per atom: 1192
SG: P4/mmm (123)
Uncorrected energy in eV/cell: -24.46

***

2.
In2FeOs: relaxed, GGA-PBE.

```
8
Lattice="10.216 0.000 0.000 0.000 3.066 0.000 -1.530 0.000 4.445" Properties=species:S:1:pos:R:3 pbc="T T T"
In 0.000 0.000 0.000
In 1.176 0.000 2.911
In 5.108 1.533 0.000
In 6.284 1.533 2.911
Fe 2.350 1.533 0.848
Fe 7.458 0.000 0.848
Os 3.932 0.000 2.077
Os 9.041 1.533 2.077
```

Calculated values
ΔE_f in eV/atom: 0.375
Energy relative to the lowest polymorph listed for this composition in meV/atom: 46
SG: Cm (8)
Uncorrected energy in eV/cell: -47.33

***

3.
Ac3La4Ho2: relaxed, GGA-PBE.

```
18
Lattice="6.608 0.000 0.000 -0.052 9.799 0.000 -3.193 -3.715 10.683" Properties=species:S:1:pos:R:3 pbc="T T T"
Ac -0.487 3.500 3.035
Ac 0.533 7.053 4.087
Ac -0.450 4.349 10.113
Ac 3.812 1.734 0.570
Ac 2.829 -0.969 6.596
Ac 3.849 2.583 7.648
La -2.570 -0.480 10.143
La -0.448 0.687 5.348
La -0.535 -2.499 7.648
La 0.555 0.893 8.871
La 2.807 5.190 1.812
La 3.897 8.583 3.036
La 3.810 5.396 5.335
La 5.932 6.564 0.540
Ho 0.544 0.152 1.744
Ho 0.647 4.029 6.549
Ho 2.715 2.055 4.134
Ho 2.818 5.931 8.939
```

Calculated values
ΔE_f in eV/atom: 0.048
SG: P-1 (2)
Uncorrected energy in eV/cell: -81.51

***

4.
NdAuC2O6: relaxed, GGA-PBE.

```
20
Lattice="4.766 -4.674 0.000 4.766 4.674 0.000 -4.213 0.000 6.435" Properties=species:S:1:pos:R:3 pbc="T T T"
Nd 1.607 3.925 4.826
Nd 3.713 -3.925 1.609
Au 3.713 0.848 1.609
Au 1.607 -0.848 4.826
C -0.866 1.295 5.072
C 1.240 -1.295 1.855
C 4.080 1.295 4.581
C 6.186 -1.295 1.363
O -1.484 0.877 4.002
O 0.044 2.163 5.047
O -1.324 0.705 6.168
O 0.622 -0.877 0.784
O 0.782 -0.705 2.950
O 3.170 2.163 4.605
O 2.150 -2.163 1.830
O 4.537 0.705 3.485
O 4.698 0.877 5.651
O 6.644 -0.705 0.267
O 5.276 -2.163 1.388
O 6.804 -0.877 2.433
```

Calculated values
ΔE_f (raw) in meV per atom: -1713
SG: C2/c (15)
Uncorrected energy in eV/cell: -146.74

***

> Which formula does entry 4 have?

NdAuC2O6

***

> Number 1 is which compound?

RePtSe2O